Entry from Alexandria: a geometry-optimized NaPm2SmHg4 structure (PBE).

a = 5.3145 Å, b = 5.3145 Å, c = 9.2921 Å
α = 73.38°, β = 73.38°, γ = 60.00°
Sites, in units of the cell vectors:
Hg  0.1245  0.1245  0.6265
Hg  0.3742  0.3742  0.8775
Hg  0.6258  0.6258  0.1225
Hg  0.8755  0.8755  0.3735
Sm  0.0000  0.0000  0.0000
Pm  0.7541  0.7541  0.7377
Pm  0.2459  0.2459  0.2623
Na  0.5000  0.5000  0.5000

Results
- energy of formation from the pure elements (kJ/mol of formula units) = -326
- SG = R-3m, No. 166
- density of states at the Fermi level (states/eV/cell) = 8.13